This record from the Alexandria database describes crystalline CrInGaW2 at its relaxed geometry. The functional is GGA-PBE.

The calculation puts the density of states at the Fermi level at 9.10 states/eV/cell.

The space group is P4/mmm (No. 123) and the conventional cell measures 4.900, 4.900 and 4.626 Å, with angles of 90.00, 90.00 and 90.00 degrees. Symmetry generates all atoms from Cr at (0.000, 0.000, 0.000), In at (0.000, 0.000, 0.500), Ga at (0.500, 0.500, 0.000) and W at (0.000, 0.500, 0.500).

***

This record from the Alexandria database describes crystalline InFe2Rh at its relaxed geometry. The functional is GGA-PBE.

The calculation puts the density of states at the Fermi level at 8.54 states/eV/cell.

The space group is I4/mmm (No. 139) and the conventional cell measures 3.818, 3.818 and 8.115 Å, with angles of 90.00, 90.00 and 90.00 degrees. Symmetry generates all atoms from In at (0.000, 0.000, 0.000), Fe at (0.000, 0.500, 0.250) and Rh at (0.000, 0.000, 0.500).

***

no.,calculated formation energy (eV/atom),E_tot (eV/f.u.),total magnetization (μB per cell)
1,2.67,-27.93,0.02
2,0.06,-26.76,11.70